Pr7Te2Pb2: relaxed, PBE-GGA.

Calculated values
Calculated volume, Å³ per cell: 781.5
Energy relative to the elements, uncorrected, meV/atom: -497
Magnetization, μB per formula unit: 0.00

```
data_Pr7Te2Pb2
_chemical_formula_sum 'Pr14 Te4 Pb4'
_cell_length_a 9.236
_cell_length_b 11.633
_cell_length_c 7.273
_cell_angle_alpha 90.00
_cell_angle_beta 90.00
_cell_angle_gamma 90.00
_symmetry_space_group_name_H-M 'C m m m'
_symmetry_Int_Tables_number 65
_symmetry_space_group_name_Hall '-C 2 2'
loop_
_atom_site_label
_atom_site_type_symbol
_atom_site_fract_x
_atom_site_fract_y
_atom_site_fract_z
Pr1 Pr 0.000 0.000 0.000
Pr2 Pr 0.000 0.500 0.256
Pr3 Pr 0.250 0.250 0.276
Te1 Te 0.000 0.275 0.000
Pb1 Pb 0.181 0.000 0.500
```

=====

SmThPtSe: relaxed, PBE-GGA.

Calculated values
Calculated volume, Å³ per cell: 321.1
Energy relative to the elements, uncorrected, meV/atom: -1332
Magnetization, μB per formula unit: 0.00

```
data_SmThPtSe
_chemical_formula_sum 'Sm3 Th3 Pt3 Se3'
_cell_length_a 4.0329
_cell_length_b 4.0329
_cell_length_c 22.7898
_cell_angle_alpha 90.00
_cell_angle_beta 90.00
_cell_angle_gamma 120.00
_symmetry_space_group_name_H-M 'R 3 m'
_symmetry_Int_Tables_number 160
_symmetry_space_group_name_Hall 'R 3 -2"'
loop_
_atom_site_label
_atom_site_type_symbol
_atom_site_fract_x
_atom_site_fract_y
_atom_site_fract_z
Sm1 Sm 0.0000 0.0000 0.0000
Th1 Th 0.0000 0.0000 0.1624
Pt1 Pt 0.0000 0.0000 0.7528
Se1 Se 0.0000 0.0000 0.5828
```

=====

Ba3V5Se12: relaxed, PBE-GGA.

Calculated values
Calculated volume, Å³ per cell: 4413.1
Energy relative to the elements, uncorrected, meV/atom: -995
Magnetization, μB per formula unit: 7.00

```
data_Ba3V5Se12
_chemical_formula_sum 'Ba24 V40 Se96'
_cell_length_a 16.403
_cell_length_b 16.403
_cell_length_c 16.403
_cell_angle_alpha 90.00
_cell_angle_beta 90.00
_cell_angle_gamma 90.00
_symmetry_space_group_name_H-M 'I a -3 d'
_symmetry_Int_Tables_number 230
_symmetry_space_group_name_Hall '-I 4bd 2c 3'
loop_
_atom_site_label
_atom_site_type_symbol
_atom_site_fract_x
_atom_site_fract_y
_atom_site_fract_z
Ba1 Ba 0.000 0.250 0.125
V1 V 0.000 0.000 0.000
V2 V 0.000 0.250 0.375
Se1 Se 0.040 0.049 0.646
```

=====

NbTcBN2: relaxed, PBE-GGA.

Calculated values
Calculated volume, Å³ per cell: 84.4
Energy relative to the elements, uncorrected, meV/atom: 1704
Magnetization, μB per formula unit: 2.87

```
data_NbTcBN2
_chemical_formula_sum 'Nb1 Tc1 B1 N2'
_cell_length_a 3.842
_cell_length_b 3.842
_cell_length_c 5.719
_cell_angle_alpha 90.00
_cell_angle_beta 90.00
_cell_angle_gamma 90.00
_symmetry_space_group_name_H-M 'P 4/m m m'
_symmetry_Int_Tables_number 123
_symmetry_space_group_name_Hall '-P 4 2'
loop_
_atom_site_label
_atom_site_type_symbol
_atom_site_fract_x
_atom_site_fract_y
_atom_site_fract_z
Nb1 Nb 0.000 0.000 0.000
Tc1 Tc 0.000 0.000 0.500
B1 B 0.500 0.500 0.500
N1 N 0.000 0.500 0.000
```

=====

Ta2HgPb: relaxed, PBE-GGA.

Calculated values
Calculated volume, Å³ per cell: 83.4
Calculated formation energy, kJ/mol of formula units: 206
Magnetization, μB per formula unit: 0.00
Energy relative to the lowest polymorph listed for this composition, eV/atom: 0.212

```
data_Ta2HgPb
_chemical_formula_sum 'Ta2 Hg1 Pb1'
_cell_length_a 3.068
_cell_length_b 4.724
_cell_length_c 5.903
_cell_angle_alpha 90.00
_cell_angle_beta 102.81
_cell_angle_gamma 90.00
_symmetry_space_group_name_H-M 'P 1 m 1'
_symmetry_Int_Tables_number 6
loop_
_symmetry_equiv_pos_as_xyz
'x,y,z'
'x,-y,z'
loop_
_atom_site_label
_atom_site_type_symbol
_atom_site_fract_x
_atom_site_fract_y
_atom_site_fract_z
Ta1 Ta 0.000 0.000 0.000
Ta2 Ta 0.165 0.500 0.749
Hg1 Hg 0.674 0.500 0.219
Pb1 Pb 0.510 0.000 0.514
```

=====

Lu12H5Pd3: relaxed, PBE-GGA.

Calculated values
Calculated volume, Å³ per cell: 3242.4
DFT total energy, eV/f.u.: -95.3
Magnetization, μB per formula unit: 0.00

```
data_Lu12H5Pd3
_chemical_formula_sum 'Lu96 H40 Pd24'
_cell_length_a 14.801
_cell_length_b 14.801
_cell_length_c 14.801
_cell_angle_alpha 90.00
_cell_angle_beta 90.00
_cell_angle_gamma 90.00
_symmetry_space_group_name_H-M 'I a -3 d'
_symmetry_Int_Tables_number 230
_symmetry_space_group_name_Hall '-I 4bd 2c 3'
loop_
_atom_site_label
_atom_site_type_symbol
_atom_site_fract_x
_atom_site_fract_y
_atom_site_fract_z
Lu1 Lu 0.038 0.059 0.654
H1 H 0.000 0.000 0.000
H2 H 0.000 0.250 0.375
Pd1 Pd 0.000 0.250 0.125
```